Entry 1:
The following is a DFT calculation (PBE) of a geometry-optimized Lu2ZrCl structure.

Lattice parameters (Å, degrees): 3.471 3.471 9.581 79.56 79.56 60.00
Atoms (fractional coordinates):
Cl  0.000  0.000  0.000
Lu  0.744  0.744  0.767
Zr  0.500  0.500  0.500
Lu  0.256  0.256  0.233

The value obtained for the electronic total energy is -5.46 eV per atom. Its uncorrected formation energy is -0.604 eV/atom. Its crystal system is trigonal. The calculation puts the total magnetization at 0.002 μB per cell. The value obtained for the calculated density is 8.1 g/cm3.

---

Entry 2:
The following is a DFT calculation (PBE) of a geometry-optimized TcHIr2W structure.

Lattice parameters (Å, degrees): 3.888 3.888 4.073 90.00 90.00 90.00
Atoms (fractional coordinates):
Ir  0.500  0.000  0.000
W  0.000  0.000  0.500
H  0.000  0.000  0.000
Ir  0.000  0.500  0.000
Tc  0.500  0.500  0.500

The value obtained for the electronic total energy is -8.92 eV per atom. Its crystal system is tetragonal. The calculation puts the total magnetization at 0.000 μB per cell. The value obtained for the calculated density is 18.0 g/cm3.

---

Entry 3:
The following is a DFT calculation (PBE) of a geometry-optimized Sm3HoEr12 structure.

Lattice parameters (Å, degrees): 4.990 4.990 19.970 90.00 90.00 90.00
Atoms (fractional coordinates):
Er  0.000  0.500  0.124
Er  0.500  0.500  0.500
Er  0.500  0.500  0.751
Sm  0.000  0.000  0.249
Sm  0.000  0.000  0.500
Ho  0.000  0.000  0.000
Er  0.000  0.500  0.626
Er  0.500  0.000  0.626
Er  0.500  0.000  0.374
Er  0.000  0.500  0.374
Sm  0.000  0.000  0.751
Er  0.500  0.000  0.124
Er  0.500  0.500  0.249
Er  0.500  0.500  0.000
Er  0.000  0.500  0.876
Er  0.500  0.000  0.876

The value obtained for the electronic total energy is -4.57 eV per atom. Its crystal system is tetragonal. The calculation puts the total magnetization at 0.000 μB per cell. The value obtained for the calculated density is 8.8 g/cm3. For the energy of formation, the calculation gives 0.0223 eV per atom.

---

Entry 4:
The following is a DFT calculation (PBE) of a geometry-optimized BeRu structure.

Lattice parameters (Å, degrees): 4.518 4.558 8.423 90.00 90.00 90.00
Atoms (fractional coordinates):
Be  0.373  0.400  0.774
Ru  0.134  0.380  0.013
Ru  0.634  0.120  0.987
Ru  0.866  0.880  0.487
Be  0.127  0.600  0.274
Ru  0.130  0.892  0.801
Ru  0.870  0.392  0.699
Be  0.627  0.900  0.726
Be  0.175  0.873  0.073
Ru  0.366  0.620  0.513
Be  0.825  0.373  0.427
Be  0.325  0.127  0.573
Be  0.675  0.627  0.927
Ru  0.370  0.108  0.301
Ru  0.630  0.608  0.199
Be  0.873  0.100  0.226

The value obtained for the electronic total energy is -6.75 eV per atom. Its crystal system is orthorhombic. The calculation puts the total magnetization at 0.000 μB per cell. The value obtained for the calculated density is 8.4 g/cm3. For the energy of formation, the calculation gives -0.2447 eV per atom.

---

Entry 5:
The following is a DFT calculation (PBE) of a geometry-optimized AcHPt2 structure.

Lattice parameters (Å, degrees): 4.131 4.131 5.773 69.04 69.04 60.00
Atoms (fractional coordinates):
Ac  0.000  0.000  0.000
Pt  0.792  0.792  0.624
H  0.500  0.500  0.500
Pt  0.208  0.208  0.376

The value obtained for the electronic total energy is -5.17 eV per atom. Its crystal system is trigonal. The calculation puts the total magnetization at 0.000 μB per cell. The value obtained for the calculated density is 13.2 g/cm3.

---

Entry 6:
The following is a DFT calculation (PBE) of a geometry-optimized Zr3ScTl structure.

Lattice parameters (Å, degrees): 5.064 5.064 5.064 90.00 90.00 90.00
Atoms (fractional coordinates):
Zr  0.000  0.500  0.000
Zr  0.000  0.000  0.500
Zr  0.500  0.000  0.000
Sc  0.000  0.000  0.000
Tl  0.500  0.500  0.500

The value obtained for the electronic total energy is -5.87 eV per atom. Its crystal system is cubic. The calculation puts the total magnetization at 0.000 μB per cell. The value obtained for the calculated density is 6.7 g/cm3. For the energy of formation, the calculation gives 0.9963 eV per atom.

---

Entry 7:
The following is a DFT calculation (PBE) of a geometry-optimized CaPuGaN3 structure.

Lattice parameters (Å, degrees): 3.415 7.152 7.621 94.19 90.00 90.00
Last column: magnetic moment on the atom in μB.
Atoms (fractional coordinates):
Ca  0.250  0.155  0.179  0.01
Ca  0.750  0.845  0.821  0.01
Ga  0.250  0.116  0.590  0.01
Pu  0.250  0.629  0.163  4.30
Pu  0.750  0.371  0.837  4.30
N  0.250  0.583  0.877  -0.21
N  0.750  0.169  0.474  -0.02
Ga  0.750  0.884  0.410  0.01
N  0.250  0.148  0.848  -0.13
N  0.250  0.831  0.526  -0.02
N  0.750  0.417  0.123  -0.21
N  0.750  0.852  0.152  -0.13

The value obtained for the electronic total energy is -8.13 eV per atom. Its uncorrected formation energy is -0.738 eV/atom. Its crystal system is monoclinic. The calculation puts the total magnetization at 8.000 μB per cell. The value obtained for the calculated density is 7.1 g/cm3.

---

Entry 8:
The following is a DFT calculation (PBE) of a geometry-optimized RbGeN3 structure.

Lattice parameters (Å, degrees): 4.079 4.079 4.079 90.00 90.00 90.00
Last column: magnetic moment on the atom in μB.
Atoms (fractional coordinates):
N  0.500  0.000  0.000  0.92
Ge  0.000  0.000  0.000  -0.07
N  0.000  0.000  0.500  0.94
N  0.000  0.500  0.000  0.92
Rb  0.500  0.500  0.500  0.05

The value obtained for the electronic total energy is -4.75 eV per atom. Its uncorrected formation energy is 1.365 eV/atom. Its crystal system is cubic. The calculation puts the total magnetization at 4.002 μB per cell. The value obtained for the calculated density is 4.9 g/cm3.

---

Entry 9:
The following is a DFT calculation (PBE) of a geometry-optimized TlGa2Cl structure.

Lattice parameters (Å, degrees): 6.227 6.227 8.086 67.35 67.35 90.00
Atoms (fractional coordinates):
Ga  0.629  0.125  0.250
Ga  0.375  0.371  0.750
Ga  0.121  0.625  0.250
Cl  0.250  0.750  0.500
Tl  0.750  0.250  0.500
Cl  0.500  0.500  0.000
Tl  0.000  0.000  0.000
Ga  0.875  0.879  0.750

The value obtained for the electronic total energy is -2.58 eV per atom. Its uncorrected formation energy is -0.013 eV/atom. Its crystal system is tetragonal. The calculation puts the total magnetization at 0.000 μB per cell. The value obtained for the calculated density is 4.8 g/cm3.

---

Entry 10:
The following is a DFT calculation (PBE) of a geometry-optimized La4GaI4 structure.

Lattice parameters (Å, degrees): 7.721 7.721 8.239 117.94 117.94 90.00
Atoms (fractional coordinates):
Ga  0.000  0.000  0.000
La  0.656  0.656  0.710
I  0.000  0.500  0.000
La  0.054  0.054  0.710
I  0.342  0.342  0.684
La  0.344  0.946  0.290
I  0.500  0.000  0.000
I  0.658  0.658  0.316
La  0.946  0.344  0.290

The value obtained for the electronic total energy is -3.96 eV per atom. Its uncorrected formation energy is -0.743 eV/atom. Its crystal system is tetragonal. The calculation puts the total magnetization at 0.387 μB per cell. The value obtained for the calculated density is 5.1 g/cm3.

---

Entry 11:
The following is a DFT calculation (PBE) of a geometry-optimized TcPAu2 structure.

Lattice parameters (Å, degrees): 5.438 5.438 5.438 139.44 139.44 58.71
Last column: magnetic moment on the atom in μB.
Atoms (fractional coordinates):
Au  0.750  0.250  0.500  0.08
Au  0.250  0.750  0.500  0.08
P  0.500  0.500  0.000  -0.03
Tc  0.000  0.000  0.000  1.92

The value obtained for the electronic total energy is -5.09 eV per atom. Its crystal system is tetragonal. The calculation puts the total magnetization at 2.237 μB per cell. The value obtained for the calculated density is 12.9 g/cm3. For the energy of formation, the calculation gives 0.4975 eV per atom.